1.
The following is a PBE-GGA calculation of crystalline HfBeCr2W at its relaxed geometry, from the Alexandria database.

## Properties
For the calculated volume, the calculation gives 17.90 Å³/atom. The calculation puts the spin magnetization at 0.732 μB/atom. The formation enthalpy at 0 K is 1.226 eV per atom.

Cell and atoms, written as extended XYZ:
```
5
Lattice="4.5131 0.0000 0.0000 0.0000 4.5131 0.0000 0.0000 0.0000 4.3934" Properties=species:S:1:pos:R:3 pbc="T T T"
Cr 0.0000 2.2565 0.0000
Cr 2.2565 0.0000 0.0000
Hf 2.2565 2.2565 2.1967
W 0.0000 0.0000 0.0000
Be 0.0000 0.0000 2.1967
```

2.
The following is a PBE-GGA calculation of crystalline Na2ZnAs at its relaxed geometry, from the Alexandria database.

## Properties
For the calculated volume, the calculation gives 21.58 Å³/atom. The calculation puts the spin magnetization at 0.000 μB/atom. The calculation puts the excess energy over the best structure of this formula in the dataset at 0.102 eV per atom. The formation enthalpy at 0 K is -0.101 eV per atom.

Cell and atoms, written as extended XYZ:
```
4
Lattice="0.0000 3.5075 3.5075 3.5075 0.0000 3.5075 3.5075 3.5075 0.0000" Properties=species:S:1:pos:R:3 pbc="T T T"
Na 1.7538 1.7538 1.7538
Na 5.2613 5.2613 5.2613
As 3.5075 3.5075 3.5075
Zn 0.0000 0.0000 0.0000
```

3.
The following is a PBE-GGA calculation of crystalline LaGdN2 at its relaxed geometry, from the Alexandria database.

## Properties
For the calculated volume, the calculation gives 17.16 Å³/atom. The calculation puts the total energy at -10.31 eV per atom. The calculation puts the spin magnetization at 1.754 μB/atom.

Cell and atoms, written as extended XYZ:
```
4
Lattice="3.6473 0.0000 0.0000 0.0000 3.6473 0.0000 0.0000 0.0000 5.1611" Properties=species:S:1:pos:R:3 pbc="T T T"
N 0.0000 0.0000 2.5806
N 1.8236 1.8236 0.0000
Gd 0.0000 0.0000 0.0000
La 1.8236 1.8236 2.5806
```

4.
The following is a PBE-GGA calculation of crystalline SrUInCl6 at its relaxed geometry, from the Alexandria database.

## Properties
For the calculated volume, the calculation gives 36.06 Å³/atom. The calculation puts the total energy at -4.72 eV per atom. The calculation puts the spin magnetization at 0.333 μB/atom.

Cell and atoms, written as extended XYZ:
```
18
Lattice="-5.5383 -0.6381 -5.0213 7.0417 -1.7116 -1.9438 -2.0081 -12.5951 3.8155" Properties=species:S:1:pos:R:3 pbc="T T T"
Sr 2.3463 -4.5025 -2.0158
Sr -2.8511 -10.4422 -1.1338
U -1.8470 -4.1447 -3.0416
U 1.3423 -10.8000 -0.1080
In 0.0000 0.0000 0.0000
In -1.0041 -6.2975 1.9077
Cl 0.5886 -3.1823 -3.9346
Cl -3.2106 -2.9370 -5.1244
Cl 3.6824 -9.9084 -1.2848
Cl 2.7059 -12.0077 1.9748
Cl -0.2812 -5.4485 -1.1697
Cl -1.7669 -6.3027 -4.7714
Cl 1.7202 -12.9835 -1.7650
Cl -4.1871 -5.0363 -1.8648
Cl 1.2621 -8.6420 1.6218
Cl -2.2249 -1.9613 -1.3846
Cl -0.2236 -9.4962 -1.9799
Cl -1.0934 -11.7624 0.7850
```

Among the records above, which one has the highest calculated volume?
SrUInCl6

Among the records above, which one has the highest spin magnetization?
LaGdN2